NaCdGeAu2: relaxed, PBE.

Properties
**DOS(E_F)**: 0.435 states/eV/atom
**V**: 26.25 A^3/atom
**E_form**: 0.035 eV/atom
**Calculated total energy**: -2.6461 eV/atom

a = 4.998 Å, b = 5.253 Å, c = 4.998 Å
α = 90.00°, β = 90.00°, γ = 90.00°
Fractional coordinates of all 5 atoms:
Au1 0.500 0.000 0.000
Au2 0.000 0.000 0.500
Na1 0.500 0.500 0.500
Ge1 0.000 0.000 0.000
Cd1 0.000 0.500 0.000